Record 1
## GaIrI2 (PBE)

Data for a geometry-optimized GaIrI2 structure.

a = 7.325 Å, b = 7.325 Å, c = 7.325 Å
α = 90.00°, β = 90.00°, γ = 90.00°
Space group Fm-3m (No. 225)
One atom of each set of equivalent atoms:
Ga  0.000  0.000  0.000 (multiplicity 4)
Ir  0.000  0.000  0.500 (multiplicity 4)
I  0.250  0.250  0.250 (multiplicity 8)

Computed properties:
VASP energy	-46.439	eV/cell
size of the total moment	2.01	μB per formula unit
polymorph energy (0 for the lowest one)	0.351	eV per atom
formation energy (no corrections)	326	kJ/mol of formula units


Record 2
## GaIrI2 (PBE)

Data for a geometry-optimized GaIrI2 structure.

a = 6.790 Å, b = 6.790 Å, c = 12.649 Å
α = 90.00°, β = 90.00°, γ = 90.00°
Space group I-42d (No. 122)
One atom of each set of equivalent atoms:
Ga  0.000  0.000  0.000 (multiplicity 4)
Ir  0.000  0.000  0.500 (multiplicity 4)
I  0.177  0.250  0.625 (multiplicity 8)

Computed properties:
VASP energy	-52.055	eV/cell
size of the total moment	0.00	μB per formula unit
polymorph energy (0 for the lowest one)	0.000	eV per atom
formation energy (no corrections)	191	kJ/mol of formula units


Record 3
## GaIrI3 (PBE)

Data for a geometry-optimized GaIrI3 structure.

a = 5.475 Å, b = 5.475 Å, c = 5.475 Å
α = 90.00°, β = 90.00°, γ = 90.00°
Space group Pm-3m (No. 221)
One atom of each set of equivalent atoms:
Ga  0.000  0.000  0.000 (multiplicity 1)
Ir  0.500  0.500  0.500 (multiplicity 1)
I  0.000  0.500  0.500 (multiplicity 3)

Computed properties:
VASP energy	-15.432	eV/cell
size of the total moment	0.00	μB per formula unit
polymorph energy (0 for the lowest one)	0.000	eV per atom
formation energy (no corrections)	107	kJ/mol of formula units


Record 4
## GaIrI3 (PBE)

Data for a geometry-optimized GaIrI3 structure.

a = 5.594 Å, b = 5.594 Å, c = 5.594 Å
α = 90.00°, β = 90.00°, γ = 90.00°
Space group Pm-3m (No. 221)
One atom of each set of equivalent atoms:
Ga  0.000  0.000  0.000 (multiplicity 1)
Ir  0.500  0.500  0.500 (multiplicity 1)
I  0.000  0.000  0.500 (multiplicity 3)

Computed properties:
VASP energy	-11.094	eV/cell
size of the total moment	3.12	μB per formula unit
polymorph energy (0 for the lowest one)	0.868	eV per atom
formation energy (no corrections)	525	kJ/mol of formula units